# 1
This record from Alexandria describes an optimized crystal structure of Th2Co3Si5. The functional is PBE.

Lattice parameters (Å, degrees): 5.7338 8.0126 8.0126 90.71 69.03 69.03
Closest atoms and distances in Å follow each position.
Atoms (fractional coordinates):
Si 0.2500 0.5002 0.4998  4 Co 2.38-2.39
Si 0.2500 0.7617 0.2383  2 Co 2.32, 2 Si 2.51
Si 0.7500 0.7617 0.2383  2 Co 2.32, 2 Si 2.51
Si 0.8544 0.2528 0.0386  3 Co 2.33-2.35, 2 Si 2.51
Si 0.3544 0.0386 0.2528  3 Co 2.33-2.35, 2 Si 2.51
Si 0.2500 0.2383 0.7617  2 Co 2.32, 2 Si 2.51
Si 0.7500 0.2383 0.7617  2 Co 2.32, 2 Si 2.51
Si 0.7500 0.4998 0.5002  4 Co 2.38-2.39
Si 0.1456 0.7472 0.9614  3 Co 2.33-2.35, 2 Si 2.51
Si 0.6456 0.9614 0.7472  3 Co 2.33-2.35, 2 Si 2.51
Th 0.7379 0.1319 0.3923  10 Si 2.93-3.17, 6 Co 3.03-3.27
Th 0.7621 0.6077 0.8681  10 Si 2.93-3.17, 6 Co 3.03-3.27
Th 0.2379 0.3923 0.1319  10 Si 2.93-3.17, 6 Co 3.03-3.27
Th 0.2621 0.8681 0.6077  10 Si 2.93-3.17, 6 Co 3.03-3.27
Co 0.2500 0.9999 0.0001  4 Si 2.35
Co 0.7500 0.0001 0.9999  4 Si 2.35
Co 0.6159 0.5194 0.2491  5 Si 2.32-2.39
Co 0.1159 0.2491 0.5194  5 Si 2.32-2.39
Co 0.3841 0.4806 0.7509  5 Si 2.32-2.39
Co 0.8841 0.7509 0.4806  5 Si 2.32-2.39

Symmetry   Ibam, No. 72
Energy relative to the elements, uncorrected   -0.793 eV/atom
Spin magnetization   0.60 μB/cell
E_tot   -7.120 eV/atom

# 2
This record from Alexandria describes an optimized crystal structure of Tm3P6Rh20. The functional is PBE.

Lattice parameters (Å, degrees): 8.4703 8.4703 8.4703 60.00 60.00 60.00
Closest atoms and distances in Å follow each position.
Atoms (fractional coordinates):
Rh 0.6587 0.3413 0.0000  2 P 2.36
Rh 0.6169 0.1493 0.6169  3 P 2.40
Rh 0.3413 0.0000 0.6587  2 P 2.36
Rh 0.3831 0.3831 0.3831  3 P 2.40
Rh 0.6587 0.0000 0.3413  2 P 2.36
Rh 0.6169 0.6169 0.6169  3 P 2.40
Rh 0.8507 0.3831 0.3831  3 P 2.40
Rh 0.0000 0.6587 0.0000  2 P 2.36
Rh 0.0000 0.6587 0.3413  2 P 2.36
Rh 0.3413 0.6587 0.0000  2 P 2.36
Rh 0.3831 0.3831 0.8507  3 P 2.40
Rh 0.1493 0.6169 0.6169  3 P 2.40
Rh 0.0000 0.3413 0.6587  2 P 2.36
Rh 0.6587 0.0000 0.0000  2 P 2.36
Rh 0.6169 0.6169 0.1493  3 P 2.40
Rh 0.0000 0.3413 0.0000  2 P 2.36
Rh 0.0000 0.0000 0.6587  2 P 2.36
Rh 0.3413 0.0000 0.0000  2 P 2.36
Rh 0.0000 0.0000 0.3413  2 P 2.36
Rh 0.3831 0.8507 0.3831  3 P 2.40
P 0.2695 0.7305 0.7305  8 Rh 2.36-2.40
P 0.7305 0.2695 0.7305  8 Rh 2.36-2.40
P 0.7305 0.2695 0.2695  8 Rh 2.36-2.40
P 0.2695 0.2695 0.7305  8 Rh 2.36-2.40
P 0.7305 0.7305 0.2695  8 Rh 2.36-2.40
P 0.2695 0.7305 0.2695  8 Rh 2.36-2.40
Tm 0.0000 0.0000 0.0000  12 Rh 2.89, 6 P 3.23
Tm 0.7500 0.7500 0.7500  4 Rh 2.76
Tm 0.2500 0.2500 0.2500  4 Rh 2.76

Symmetry   Fm-3m, No. 225
Formation enthalpy at 0 K   -705 meV per atom
Spin magnetization   0.00 μB/cell
E_tot   -7.357 eV/atom

# 3
This record from Alexandria describes an optimized crystal structure of Tb5Tm2Ru4. The functional is PBE.

Lattice parameters (Å, degrees): 3.8974 10.9578 6.9778 70.15 106.22 90.00
Closest atoms and distances in Å follow each position.
Atoms (fractional coordinates):
Tb 0.1949 0.4083 0.3898  3 Ru 2.80-2.99
Tb 0.5000 0.0000 0.0000  4 Ru 2.96
Tb 0.2513 0.8752 0.5027  4 Ru 2.78-2.94
Tb 0.8051 0.5917 0.6102  3 Ru 2.80-2.99
Tb 0.7487 0.1248 0.4973  4 Ru 2.78-2.94
Ru 0.1479 0.6958 0.2959  2 Tm 2.73, 4 Tb 2.78-2.99, 1 Ru 3.04
Ru 0.0878 0.1383 0.1757  2 Tm 2.83, 5 Tb 2.87-2.96, 1 Ru 3.04
Ru 0.9122 0.8617 0.8243  2 Tm 2.83, 5 Tb 2.87-2.96, 1 Ru 3.04
Ru 0.8521 0.3042 0.7041  2 Tm 2.73, 4 Tb 2.78-2.99, 1 Ru 3.04
Tm 0.4859 0.3291 0.9719  4 Ru 2.73-2.83
Tm 0.5141 0.6709 0.0281  4 Ru 2.73-2.83

Symmetry   C2/m, No. 12
Formation enthalpy at 0 K   -282 meV per atom
Spin magnetization   0.00 μB/cell
E_tot   -6.573 eV/atom

# 4
This record from Alexandria describes an optimized crystal structure of Cs2HfTlS4. The functional is PBE.

Lattice parameters (Å, degrees): 6.8442 8.1721 12.8037 83.57 74.50 65.24
Closest atoms and distances in Å follow each position.
Atoms (fractional coordinates):
S 0.9426 0.8102 0.8920  1 Hf 2.40
S 0.1655 0.1898 0.8920  1 Hf 2.40
S 0.5027 0.6898 0.3920  1 Hf 2.40
S 0.8074 0.6898 0.6080  1 Hf 2.40
S 0.2473 0.8102 0.1080  1 Hf 2.40
S 0.5845 0.3102 0.6080  1 Hf 2.40
S 0.1053 0.3102 0.3920  1 Hf 2.40
S 0.6447 0.1898 0.1080  1 Hf 2.40
Cs 0.5692 0.5000 0.8615  6 S 3.71-3.90
Cs 0.9308 0.5000 0.1385  6 S 3.71-3.90
Cs 0.8192 0.0000 0.3615  6 S 3.71-3.90
Cs 0.1808 0.0000 0.6385  6 S 3.71-3.90
Hf 0.7500 0.5000 0.5000  4 S 2.40
Hf 0.0000 0.0000 0.0000  4 S 2.40
Tl 0.5000 0.0000 0.0000  4 S 2.79
Tl 0.2500 0.5000 0.5000  4 S 2.79

Symmetry   Fddd, No. 70
Energy relative to the elements, uncorrected   -1.086 eV/atom
Spin magnetization   0.00 μB/cell
E_tot   -4.903 eV/atom